Entry 1:
Computed, not measured: CoIrRh2 at its PBEsol-relaxed geometry at the meta-GGA SCAN level of DFT.

Unit cell a=5.2629 b=7.4642 c=2.6498 alpha=90.00 beta=90.00 gamma=90.00
Fractional positions:
Co (0.0000, 0.0000, 0.0000)
Co (0.5000, 0.5000, 0.0000)
Ir (0.0000, 0.5000, 0.0000)
Ir (0.5000, 0.0000, 0.0000)
Rh (0.2500, 0.2500, 0.5000)
Rh (0.2500, 0.7500, 0.5000)
Rh (0.7500, 0.2500, 0.5000)
Rh (0.7500, 0.7500, 0.5000)

Raw total energy ... -38.98 eV/atom
Space group ... Cmmm
Polymorph energy (0 for the lowest one) ... 0.09 eV per formula unit
Crystal system ... orthorhombic
DOS at the Fermi energy ... 0.93 states/eV/atom
Energy of formation from the pure elements ... 0.005 eV/atom
Calculated volume ... 13.01 Å³/atom



Entry 2:
Computed, not measured: Co2IrRh at its PBEsol-relaxed geometry at the meta-GGA SCAN level of DFT.

Unit cell a=2.6195 b=2.6195 c=24.7822 alpha=90.00 beta=90.00 gamma=120.00
Fractional positions:
Co (0.0000, 0.0000, 0.2502)
Co (0.0000, 0.0000, 0.7498)
Co (0.3333, 0.6667, 0.4164)
Co (0.3333, 0.6667, 0.9169)
Co (0.6667, 0.3333, 0.0831)
Co (0.6667, 0.3333, 0.5836)
Ir (0.0000, 0.0000, 0.5000)
Ir (0.3333, 0.6667, 0.1667)
Ir (0.6667, 0.3333, 0.8333)
Rh (0.0000, 0.0000, 0.0000)
Rh (0.3333, 0.6667, 0.6667)
Rh (0.6667, 0.3333, 0.3333)

Raw total energy ... -34.81 eV/atom
Space group ... R-3m
Polymorph energy (0 for the lowest one) ... 0.11 eV per formula unit
Crystal system ... trigonal
DOS at the Fermi energy ... 1.25 states/eV/atom
Energy of formation from the pure elements ... 0.061 eV/atom
Calculated volume ... 12.27 Å³/atom



Entry 3:
Computed, not measured: Co2IrRh at its PBEsol-relaxed geometry at the meta-GGA SCAN level of DFT.

Unit cell a=2.6191 b=2.6191 c=24.8612 alpha=90.00 beta=90.00 gamma=120.00
Fractional positions:
Co (0.0000, 0.0000, 0.0000)
Co (0.0000, 0.0000, 0.2575)
Co (0.3333, 0.6667, 0.6667)
Co (0.3333, 0.6667, 0.9241)
Co (0.6667, 0.3333, 0.3333)
Co (0.6667, 0.3333, 0.5908)
Ir (0.0000, 0.0000, 0.7503)
Ir (0.3333, 0.6667, 0.4170)
Ir (0.6667, 0.3333, 0.0837)
Rh (0.0000, 0.0000, 0.5073)
Rh (0.3333, 0.6667, 0.1739)
Rh (0.6667, 0.3333, 0.8406)

Raw total energy ... -34.79 eV/atom
Space group ... R3m
Polymorph energy (0 for the lowest one) ... 0.17 eV per formula unit
Crystal system ... trigonal
DOS at the Fermi energy ... 1.10 states/eV/atom
Energy of formation from the pure elements ... 0.076 eV/atom
Calculated volume ... 12.31 Å³/atom



Entry 4:
Computed, not measured: CoIrRh2 at its PBEsol-relaxed geometry at the meta-GGA SCAN level of DFT.

Unit cell a=3.7031 b=3.7031 c=7.4868 alpha=90.00 beta=90.00 gamma=90.00
Fractional positions:
Co (0.0000, 0.0000, 0.0000)
Co (0.5000, 0.5000, 0.5000)
Ir (0.0000, 0.0000, 0.5000)
Ir (0.5000, 0.5000, 0.0000)
Rh (0.0000, 0.5000, 0.2500)
Rh (0.0000, 0.5000, 0.7500)
Rh (0.5000, 0.0000, 0.2500)
Rh (0.5000, 0.0000, 0.7500)

Raw total energy ... -38.98 eV/atom
Space group ... I4/mmm
Polymorph energy (0 for the lowest one) ... 0.09 eV per formula unit
Crystal system ... tetragonal
DOS at the Fermi energy ... 0.93 states/eV/atom
Energy of formation from the pure elements ... 0.006 eV/atom
Calculated volume ... 12.83 Å³/atom



Entry 5:
Computed, not measured: Co2IrRh at its PBEsol-relaxed geometry at the meta-GGA SCAN level of DFT.

Unit cell a=5.2131 b=7.0668 c=2.6078 alpha=90.00 beta=90.00 gamma=90.00
Fractional positions:
Co (0.2500, 0.2500, 0.0000)
Co (0.2500, 0.7500, 0.0000)
Co (0.7500, 0.2500, 0.0000)
Co (0.7500, 0.7500, 0.0000)
Ir (0.0000, 0.0000, 0.5000)
Ir (0.5000, 0.5000, 0.5000)
Rh (0.0000, 0.5000, 0.5000)
Rh (0.5000, 0.0000, 0.5000)

Raw total energy ... -34.79 eV/atom
Space group ... Cmmm
Polymorph energy (0 for the lowest one) ... 0.17 eV per formula unit
Crystal system ... orthorhombic
DOS at the Fermi energy ... 1.10 states/eV/atom
Energy of formation from the pure elements ... 0.076 eV/atom
Calculated volume ... 12.01 Å³/atom



Entry 6:
Computed, not measured: CoIrRh2 at its PBEsol-relaxed geometry at the meta-GGA SCAN level of DFT.

Unit cell a=4.5298 b=2.6457 c=4.5630 alpha=90.00 beta=109.09 gamma=90.00
Fractional positions:
Co (0.0000, 0.0000, 0.0000)
Ir (0.5000, 0.5000, 0.0000)
Rh (0.0000, 0.5000, 0.5000)
Rh (0.5000, 0.0000, 0.5000)

Raw total energy ... -38.95 eV/atom
Space group ... P2/m
Polymorph energy (0 for the lowest one) ... 0.20 eV per formula unit
Crystal system ... monoclinic
DOS at the Fermi energy ... 1.09 states/eV/atom
Energy of formation from the pure elements ... 0.034 eV/atom
Calculated volume ... 12.92 Å³/atom



Entry 7:
Computed, not measured: Co2IrRh at its PBEsol-relaxed geometry at the meta-GGA SCAN level of DFT.

Unit cell a=5.8181 b=5.8181 c=5.8181 alpha=90.00 beta=90.00 gamma=90.00
Fractional positions:
Co (0.2500, 0.2500, 0.2500)
Co (0.2500, 0.2500, 0.7500)
Co (0.2500, 0.7500, 0.2500)
Co (0.2500, 0.7500, 0.7500)
Co (0.7500, 0.2500, 0.2500)
Co (0.7500, 0.2500, 0.7500)
Co (0.7500, 0.7500, 0.2500)
Co (0.7500, 0.7500, 0.7500)
Ir (0.0000, 0.0000, 0.0000)
Ir (0.0000, 0.5000, 0.5000)
Ir (0.5000, 0.0000, 0.5000)
Ir (0.5000, 0.5000, 0.0000)
Rh (0.0000, 0.0000, 0.5000)
Rh (0.0000, 0.5000, 0.0000)
Rh (0.5000, 0.0000, 0.0000)
Rh (0.5000, 0.5000, 0.5000)

Raw total energy ... -34.84 eV/atom
Space group ... Fm-3m
Polymorph energy (0 for the lowest one) ... 0.00 eV per formula unit
Crystal system ... cubic
DOS at the Fermi energy ... 0.55 states/eV/atom
Energy of formation from the pure elements ... 0.033 eV/atom
Calculated volume ... 12.31 Å³/atom



Entry 8:
Computed, not measured: CoIrRh2 at its PBEsol-relaxed geometry at the meta-GGA SCAN level of DFT.

Unit cell a=2.6565 b=3.7083 c=5.2380 alpha=90.00 beta=90.00 gamma=90.00
Fractional positions:
Co (0.0000, 0.0000, 0.0000)
Ir (0.0000, 0.0000, 0.5000)
Rh (0.5000, 0.5000, 0.2438)
Rh (0.5000, 0.5000, 0.7562)

Raw total energy ... -38.96 eV/atom
Space group ... Pmmm
Polymorph energy (0 for the lowest one) ... 0.19 eV per formula unit
Crystal system ... orthorhombic
DOS at the Fermi energy ... 1.10 states/eV/atom
Energy of formation from the pure elements ... 0.030 eV/atom
Calculated volume ... 12.90 Å³/atom



Entry 9:
Computed, not measured: Co2IrRh at its PBEsol-relaxed geometry at the meta-GGA SCAN level of DFT.

Unit cell a=3.9121 b=2.6071 c=9.5171 alpha=90.00 beta=90.00 gamma=90.00
Fractional positions:
Co (0.0000, 0.0000, 0.0000)
Co (0.0000, 0.5000, 0.5000)
Co (0.5000, 0.0000, 0.1294)
Co (0.5000, 0.5000, 0.6294)
Ir (0.0000, 0.0000, 0.7361)
Ir (0.0000, 0.5000, 0.2361)
Rh (0.5000, 0.0000, 0.3914)
Rh (0.5000, 0.5000, 0.8914)

Raw total energy ... -34.81 eV/atom
Space group ... Amm2
Polymorph energy (0 for the lowest one) ... 0.10 eV per formula unit
Crystal system ... orthorhombic
DOS at the Fermi energy ... 1.17 states/eV/atom
Energy of formation from the pure elements ... 0.057 eV/atom
Calculated volume ... 12.13 Å³/atom



Entry 10:
Computed, not measured: Co2IrRh at its PBEsol-relaxed geometry at the meta-GGA SCAN level of DFT.

Unit cell a=2.6158 b=3.6183 c=5.1224 alpha=90.00 beta=90.00 gamma=90.00
Fractional positions:
Co (0.0000, 0.0000, 0.0000)
Co (0.5000, 0.5000, 0.2349)
Ir (0.0000, 0.0000, 0.4810)
Rh (0.5000, 0.5000, 0.7510)

Raw total energy ... -34.79 eV/atom
Space group ... Pmm2
Polymorph energy (0 for the lowest one) ... 0.18 eV per formula unit
Crystal system ... orthorhombic
DOS at the Fermi energy ... 1.18 states/eV/atom
Energy of formation from the pure elements ... 0.078 eV/atom
Calculated volume ... 12.12 Å³/atom



Entry 11:
Computed, not measured: CoIrRh2 at its PBEsol-relaxed geometry at the meta-GGA SCAN level of DFT.

Unit cell a=2.6617 b=2.6617 c=7.2825 alpha=90.00 beta=90.00 gamma=90.00
Fractional positions:
Co (0.0000, 0.0000, 0.0000)
Ir (0.0000, 0.0000, 0.5000)
Rh (0.5000, 0.5000, 0.2390)
Rh (0.5000, 0.5000, 0.7610)

Raw total energy ... -38.96 eV/atom
Space group ... P4/mmm
Polymorph energy (0 for the lowest one) ... 0.17 eV per formula unit
Crystal system ... tetragonal
DOS at the Fermi energy ... 0.88 states/eV/atom
Energy of formation from the pure elements ... 0.025 eV/atom
Calculated volume ... 12.90 Å³/atom



Entry 12:
Computed, not measured: Co2IrRh at its PBEsol-relaxed geometry at the meta-GGA SCAN level of DFT.

Unit cell a=3.6854 b=3.6854 c=7.0580 alpha=90.00 beta=90.00 gamma=90.00
Fractional positions:
Co (0.0000, 0.5000, 0.2500)
Co (0.0000, 0.5000, 0.7500)
Co (0.5000, 0.0000, 0.2500)
Co (0.5000, 0.0000, 0.7500)
Ir (0.0000, 0.0000, 0.0000)
Ir (0.5000, 0.5000, 0.5000)
Rh (0.0000, 0.0000, 0.5000)
Rh (0.5000, 0.5000, 0.0000)

Raw total energy ... -34.78 eV/atom
Space group ... I4/mmm
Polymorph energy (0 for the lowest one) ... 0.23 eV per formula unit
Crystal system ... tetragonal
DOS at the Fermi energy ... 1.07 states/eV/atom
Energy of formation from the pure elements ... 0.089 eV/atom
Calculated volume ... 11.98 Å³/atom